[1]
DFT (PBE) results for an optimized crystal structure of VCrMoIr.

Cell: 4.2968 4.2968 4.2968 Å, 60.00 60.00 60.00°
Atoms (fractional coordinates):
V 0.0000 0.0000 0.0000
Cr 0.5000 0.5000 0.5000
Mo 0.2500 0.2500 0.2500
Ir 0.7500 0.7500 0.7500

Properties
The value obtained for the density of states at the Fermi level is 5.9 states/eV per cell. The calculation puts the formation energy at -0.144 eV/atom. The calculation puts the total moment at 1.8 μB/f.u.



[2]
DFT (PBE) results for an optimized crystal structure of CrMoIrW.

Cell: 4.3957 4.3957 4.3957 Å, 60.00 60.00 60.00°
Atoms (fractional coordinates):
Cr 0.0000 0.0000 0.0000
Mo 0.2500 0.2500 0.2500
Ir 0.7500 0.7500 0.7500
W 0.5000 0.5000 0.5000

Properties
The value obtained for the density of states at the Fermi level is 2.5 states/eV per cell. The calculation puts the formation energy at 0.044 eV/atom. The calculation puts the total moment at 2.7 μB/f.u.



[3]
DFT (PBE) results for an optimized crystal structure of Cr2MoIrW.

Cell: 4.4390 4.4390 4.7093 Å, 90.00 90.00 90.00°
Atoms (fractional coordinates):
Cr 0.0000 0.5000 0.0000
Cr 0.5000 0.0000 0.0000
Mo 0.0000 0.0000 0.0000
Ir 0.0000 0.0000 0.5000
W 0.5000 0.5000 0.5000

Properties
The value obtained for the density of states at the Fermi level is 6.2 states/eV per cell. The calculation puts the formation energy at 1.827 eV/atom. The calculation puts the total moment at 1.7 μB/f.u.



[4]
DFT (PBE) results for an optimized crystal structure of Cr2Ir2N.

Cell: 6.2940 6.2940 6.2940 Å, 147.56 147.56 46.54°
Atoms (fractional coordinates):
Cr 0.0918 0.0918 0.0000
Cr 0.9082 0.9082 0.0000
Ir 0.2500 0.7500 0.5000
Ir 0.7500 0.2500 0.5000
N 0.5000 0.5000 0.0000

Properties
The value obtained for the density of states at the Fermi level is 6.1 states/eV per cell. The calculation puts the distance to the lowest polymorph of the same formula at 251 meV/atom. As for the formation energy (no corrections): 1.244 eV/atom. The calculation puts the total moment at 0.0 μB/f.u.



[5]
DFT (PBE) results for an optimized crystal structure of Cr2Ir2N.

Cell: 7.0445 7.0445 2.7426 Å, 90.00 90.00 90.00°
Atoms (fractional coordinates):
Cr 0.1666 0.3334 0.0000
Cr 0.3334 0.8334 0.0000
Cr 0.6666 0.1666 0.0000
Cr 0.8334 0.6666 0.0000
Ir 0.1320 0.6320 0.5000
Ir 0.3680 0.1320 0.5000
Ir 0.6320 0.8680 0.5000
Ir 0.8680 0.3680 0.5000
N 0.0000 0.0000 0.0000
N 0.5000 0.5000 0.0000

Properties
The value obtained for the density of states at the Fermi level is 10.6 states/eV per cell. The calculation puts the distance to the lowest polymorph of the same formula at 0 meV/atom. As for the formation energy (no corrections): 0.993 eV/atom. The calculation puts the total moment at 1.8 μB/f.u.



[6]
DFT (PBE) results for an optimized crystal structure of CrIr3N.

Cell: 4.0818 4.0818 4.0818 Å, 90.00 90.00 90.00°
Atoms (fractional coordinates):
Cr 0.0000 0.0000 0.0000
Ir 0.0000 0.5000 0.5000
Ir 0.5000 0.0000 0.5000
Ir 0.5000 0.5000 0.0000
N 0.5000 0.5000 0.5000

Properties
The value obtained for the density of states at the Fermi level is 7.9 states/eV per cell. The calculation puts the distance to the lowest polymorph of the same formula at 0 meV/atom. As for the formation energy (no corrections): 0.597 eV/atom. The calculation puts the total moment at 3.2 μB/f.u.



[7]
DFT (PBE) results for an optimized crystal structure of Cr2IrN.

Cell: 4.0370 4.0370 4.0370 Å, 60.00 60.00 60.00°
Atoms (fractional coordinates):
Cr 0.2500 0.2500 0.2500
Cr 0.7500 0.7500 0.7500
Ir 0.0000 0.0000 0.0000
N 0.5000 0.5000 0.5000

Properties
The value obtained for the density of states at the Fermi level is 4.3 states/eV per cell. The calculation puts the distance to the lowest polymorph of the same formula at 1305 meV/atom. As for the formation energy (no corrections): 0.947 eV/atom. The calculation puts the total moment at 1.4 μB/f.u.



[8]
DFT (PBE) results for an optimized crystal structure of CrIrN3.

Cell: 3.8117 3.8117 3.8117 Å, 90.00 90.00 90.00°
Atoms (fractional coordinates):
Cr 0.0000 0.0000 0.0000
Ir 0.5000 0.5000 0.5000
N 0.0000 0.5000 0.5000
N 0.5000 0.0000 0.5000
N 0.5000 0.5000 0.0000

Properties
The value obtained for the density of states at the Fermi level is 3.5 states/eV per cell. As for the formation energy (no corrections): 1.700 eV/atom. The calculation puts the total moment at 0.0 μB/f.u.



[9]
DFT (PBE) results for an optimized crystal structure of Cr2IrN.

Cell: 6.5962 6.5962 6.5962 Å, 24.65 24.65 24.65°
Atoms (fractional coordinates):
Cr 0.2207 0.2207 0.2207
Cr 0.7793 0.7793 0.7793
Ir 0.0000 0.0000 0.0000
N 0.5000 0.5000 0.5000

Properties
The value obtained for the density of states at the Fermi level is 4.5 states/eV per cell. The calculation puts the distance to the lowest polymorph of the same formula at 79 meV/atom. As for the formation energy (no corrections): -0.278 eV/atom. The calculation puts the total moment at 0.0 μB/f.u.



[10]
DFT (PBE) results for an optimized crystal structure of CrIrN2.

Cell: 3.7311 3.7311 3.7311 Å, 60.00 60.00 60.00°
Atoms (fractional coordinates):
Cr 0.0000 0.0000 0.0000
Ir 0.5000 0.5000 0.5000
N 0.2500 0.2500 0.2500
N 0.7500 0.7500 0.7500

Properties
The value obtained for the density of states at the Fermi level is 2.9 states/eV per cell. The calculation puts the distance to the lowest polymorph of the same formula at 1006 meV/atom. As for the formation energy (no corrections): 1.004 eV/atom. The calculation puts the total moment at 0.0 μB/f.u.



[11]
DFT (PBE) results for an optimized crystal structure of Cr2IrN.

Cell: 5.5610 5.5610 5.5610 Å, 125.42 125.42 80.84°
Atoms (fractional coordinates):
Cr 0.0418 0.6250 0.9168
Cr 0.3750 0.2918 0.4168
Cr 0.7082 0.1250 0.0832
Cr 0.8750 0.9582 0.5832
Ir 0.2500 0.7500 0.5000
Ir 0.5000 0.5000 0.0000
N 0.0000 0.0000 0.0000
N 0.7500 0.2500 0.5000

Properties
The value obtained for the density of states at the Fermi level is 5.2 states/eV per cell. The calculation puts the distance to the lowest polymorph of the same formula at 486 meV/atom. As for the formation energy (no corrections): 0.129 eV/atom. The calculation puts the total moment at 2.1 μB/f.u.



[12]
DFT (PBE) results for an optimized crystal structure of CrIrN2.

Cell: 5.5078 5.5078 5.5078 Å, 131.75 131.75 70.63°
Atoms (fractional coordinates):
Cr 0.0000 0.0000 0.0000
Cr 0.7500 0.2500 0.5000
Ir 0.2500 0.7500 0.5000
Ir 0.5000 0.5000 0.0000
N 0.0941 0.6250 0.9691
N 0.3750 0.3441 0.4691
N 0.6559 0.1250 0.0309
N 0.8750 0.9059 0.5309

Properties
The value obtained for the density of states at the Fermi level is 4.2 states/eV per cell. The calculation puts the distance to the lowest polymorph of the same formula at 83 meV/atom. As for the formation energy (no corrections): 0.081 eV/atom. The calculation puts the total moment at 1.4 μB/f.u.